Density functional theory data (PBE) for Pr2Be6Pt9 after structural relaxation.

- volume (Å³ per cell) = 273.9
- uncorrected energy (eV per atom) = -5.902
- magnetization (μB/f.u.) = 0.00
- energy relative to the elements (meV/atom) = -826
- density of states at the Fermi level (states/eV per atom) = 0.2234

```
data_Pr2Be6Pt9
_cell_length_a 5.587
_cell_length_b 5.587
_cell_length_c 10.132
_cell_angle_alpha 90.00
_cell_angle_beta 90.00
_cell_angle_gamma 120.00
_symmetry_space_group_name_H-M 'P 1'
_symmetry_Int_Tables_number 1
loop_
_symmetry_equiv_pos_as_xyz
'x,y,z'
loop_
_atom_site_label
_atom_site_type_symbol
_atom_site_fract_x
_atom_site_fract_y
_atom_site_fract_z
Pr1 Pr 0.000 0.000 0.193
Pr2 Pr 0.000 0.000 0.807
Be1 Be 0.333 0.667 0.167
Be2 Be 0.333 0.667 0.500
Be3 Be 0.333 0.667 0.833
Be4 Be 0.667 0.333 0.167
Be5 Be 0.667 0.333 0.500
Be6 Be 0.667 0.333 0.833
Pt1 Pt 0.000 0.500 0.000
Pt2 Pt 0.000 0.500 0.336
Pt3 Pt 0.000 0.500 0.664
Pt4 Pt 0.500 0.000 0.000
Pt5 Pt 0.500 0.000 0.336
Pt6 Pt 0.500 0.000 0.664
Pt7 Pt 0.500 0.500 0.000
Pt8 Pt 0.500 0.500 0.336
Pt9 Pt 0.500 0.500 0.664
```

=====

Density functional theory data (PBE) for Te2MoN after structural relaxation.

- volume (Å³ per cell) = 88.8
- uncorrected energy (eV per atom) = -5.487
- magnetization (μB/f.u.) = 0.00
- density of states at the Fermi level (states/eV per atom) = 0.8938
- uncorrected formation energy (eV per formula unit) = 3.49

```
data_Te2MoN
_cell_length_a 7.624
_cell_length_b 7.624
_cell_length_c 7.624
_cell_angle_alpha 28.43
_cell_angle_beta 28.43
_cell_angle_gamma 28.43
_symmetry_space_group_name_H-M 'P 1'
_symmetry_Int_Tables_number 1
loop_
_symmetry_equiv_pos_as_xyz
'x,y,z'
loop_
_atom_site_label
_atom_site_type_symbol
_atom_site_fract_x
_atom_site_fract_y
_atom_site_fract_z
Te1 Te 0.089 0.089 0.089
Te2 Te 0.911 0.911 0.911
Mo1 Mo 0.500 0.500 0.500
N1 N 0.000 0.000 0.000
```

=====

Density functional theory data (PBE) for Y2Ga2SnIr5 after structural relaxation.

- volume (Å³ per cell) = 351.2
- uncorrected energy (eV per atom) = -7.367
- magnetization (μB/f.u.) = 0.00
- energy relative to the elements (meV/atom) = -638
- density of states at the Fermi level (states/eV per atom) = 0.3330

```
data_Y2Ga2SnIr5
_cell_length_a 9.769
_cell_length_b 9.769
_cell_length_c 3.680
_cell_angle_alpha 90.00
_cell_angle_beta 90.00
_cell_angle_gamma 90.00
_symmetry_space_group_name_H-M 'P 1'
_symmetry_Int_Tables_number 1
loop_
_symmetry_equiv_pos_as_xyz
'x,y,z'
loop_
_atom_site_label
_atom_site_type_symbol
_atom_site_fract_x
_atom_site_fract_y
_atom_site_fract_z
Y1 Y 0.175 0.325 0.000
Y2 Y 0.325 0.825 0.000
Y3 Y 0.675 0.175 0.000
Y4 Y 0.825 0.675 0.000
Ga1 Ga 0.123 0.623 0.000
Ga2 Ga 0.377 0.123 0.000
Ga3 Ga 0.623 0.877 0.000
Ga4 Ga 0.877 0.377 0.000
Sn1 Sn 0.000 0.000 0.000
Sn2 Sn 0.500 0.500 0.000
Ir1 Ir 0.000 0.500 0.500
Ir2 Ir 0.068 0.791 0.500
Ir3 Ir 0.209 0.068 0.500
Ir4 Ir 0.291 0.568 0.500
Ir5 Ir 0.432 0.291 0.500
Ir6 Ir 0.500 0.000 0.500
Ir7 Ir 0.568 0.709 0.500
Ir8 Ir 0.709 0.432 0.500
Ir9 Ir 0.791 0.932 0.500
Ir10 Ir 0.932 0.209 0.500
```

=====

Density functional theory data (PBE) for PrMg2MoN4 after structural relaxation.

- volume (Å³ per cell) = 217.5
- uncorrected energy (eV per atom) = -7.211
- magnetization (μB/f.u.) = 0.00
- density of states at the Fermi level (states/eV per atom) = 0.2034
- uncorrected formation energy (eV per formula unit) = -5.59

```
data_PrMg2MoN4
_cell_length_a 6.277
_cell_length_b 6.277
_cell_length_c 10.808
_cell_angle_alpha 90.00
_cell_angle_beta 90.00
_cell_angle_gamma 149.28
_symmetry_space_group_name_H-M 'P 1'
_symmetry_Int_Tables_number 1
loop_
_symmetry_equiv_pos_as_xyz
'x,y,z'
loop_
_atom_site_label
_atom_site_type_symbol
_atom_site_fract_x
_atom_site_fract_y
_atom_site_fract_z
Pr1 Pr 0.068 0.932 0.750
Pr2 Pr 0.932 0.068 0.250
Mg1 Mg 0.392 0.608 0.532
Mg2 Mg 0.392 0.608 0.968
Mg3 Mg 0.608 0.392 0.032
Mg4 Mg 0.608 0.392 0.468
Mo1 Mo 0.195 0.805 0.250
Mo2 Mo 0.805 0.195 0.750
N1 N 0.000 0.000 0.000
N2 N 0.000 0.000 0.500
N3 N 0.287 0.713 0.120
N4 N 0.287 0.713 0.380
N5 N 0.409 0.591 0.750
N6 N 0.591 0.409 0.250
N7 N 0.713 0.287 0.620
N8 N 0.713 0.287 0.880
```

=====

Density functional theory data (PBE) for CsTlB2F8 after structural relaxation.

- volume (Å³ per cell) = 217.8
- uncorrected energy (eV per atom) = -5.462
- magnetization (μB/f.u.) = 0.00
- density of states at the Fermi level (states/eV per atom) = 0.0000
- uncorrected formation energy (eV per formula unit) = -34.00

```
data_CsTlB2F8
_cell_length_a 8.941
_cell_length_b 8.941
_cell_length_c 8.941
_cell_angle_alpha 35.72
_cell_angle_beta 35.72
_cell_angle_gamma 35.72
_symmetry_space_group_name_H-M 'P 1'
_symmetry_Int_Tables_number 1
loop_
_symmetry_equiv_pos_as_xyz
'x,y,z'
loop_
_atom_site_label
_atom_site_type_symbol
_atom_site_fract_x
_atom_site_fract_y
_atom_site_fract_z
Cs1 Cs 0.000 0.000 0.000
Tl1 Tl 0.500 0.500 0.500
B1 B 0.249 0.249 0.249
B2 B 0.751 0.751 0.751
F1 F 0.087 0.512 0.091
F2 F 0.091 0.087 0.512
F3 F 0.305 0.305 0.305
F4 F 0.488 0.909 0.913
F5 F 0.512 0.091 0.087
F6 F 0.695 0.695 0.695
F7 F 0.909 0.913 0.488
F8 F 0.913 0.488 0.909
```

=====

Density functional theory data (PBE) for KCd2Ir after structural relaxation.

- volume (Å³ per cell) = 88.8
- uncorrected energy (eV per atom) = -2.383
- magnetization (μB/f.u.) = 0.00
- energy relative to the elements (meV/atom) = 565
- density of states at the Fermi level (states/eV per atom) = 0.2927

```
data_KCd2Ir
_cell_length_a 5.007
_cell_length_b 5.007
_cell_length_c 5.007
_cell_angle_alpha 60.00
_cell_angle_beta 60.00
_cell_angle_gamma 60.00
_symmetry_space_group_name_H-M 'P 1'
_symmetry_Int_Tables_number 1
loop_
_symmetry_equiv_pos_as_xyz
'x,y,z'
loop_
_atom_site_label
_atom_site_type_symbol
_atom_site_fract_x
_atom_site_fract_y
_atom_site_fract_z
K1 K 0.000 0.000 0.000
Cd1 Cd 0.500 0.500 0.500
Cd2 Cd 0.750 0.750 0.750
Ir1 Ir 0.250 0.250 0.250
```

=====

Density functional theory data (PBE) for LiSmZr after structural relaxation.

- volume (Å³ per cell) = 77.9
- uncorrected energy (eV per atom) = -4.858
- magnetization (μB/f.u.) = 0.00
- energy relative to the elements (meV/atom) = 202
- density of states at the Fermi level (states/eV per atom) = 0.8810

```
data_LiSmZr
_cell_length_a 3.320
_cell_length_b 3.320
_cell_length_c 8.157
_cell_angle_alpha 90.00
_cell_angle_beta 90.00
_cell_angle_gamma 120.00
_symmetry_space_group_name_H-M 'P 1'
_symmetry_Int_Tables_number 1
loop_
_symmetry_equiv_pos_as_xyz
'x,y,z'
loop_
_atom_site_label
_atom_site_type_symbol
_atom_site_fract_x
_atom_site_fract_y
_atom_site_fract_z
Li1 Li 0.000 0.000 0.000
Sm1 Sm 0.333 0.667 0.641
Zr1 Zr 0.667 0.333 0.316
```

=====

Density functional theory data (PBE) for Ca3SnH after structural relaxation.

- volume (Å³ per cell) = 288.6
- uncorrected energy (eV per atom) = -3.111
- magnetization (μB/f.u.) = 0.00
- density of states at the Fermi level (states/eV per atom) = 0.5391

```
data_Ca3SnH
_cell_length_a 5.446
_cell_length_b 6.955
_cell_length_c 8.043
_cell_angle_alpha 90.00
_cell_angle_beta 108.70
_cell_angle_gamma 90.00
_symmetry_space_group_name_H-M 'P 1'
_symmetry_Int_Tables_number 1
loop_
_symmetry_equiv_pos_as_xyz
'x,y,z'
loop_
_atom_site_label
_atom_site_type_symbol
_atom_site_fract_x
_atom_site_fract_y
_atom_site_fract_z
Ca1 Ca 0.095 0.250 0.126
Ca2 Ca 0.319 0.006 0.650
Ca3 Ca 0.319 0.494 0.650
Ca4 Ca 0.681 0.506 0.350
Ca5 Ca 0.681 0.994 0.350
Ca6 Ca 0.905 0.750 0.874
Sn1 Sn 0.150 0.750 0.284
Sn2 Sn 0.850 0.250 0.716
H1 H 0.452 0.750 0.823
H2 H 0.548 0.250 0.177
```

=====

Density functional theory data (PBE) for Be2CdW after structural relaxation.

- volume (Å³ per cell) = 55.5
- uncorrected energy (eV per atom) = -4.992
- magnetization (μB/f.u.) = 0.00
- energy relative to the elements (meV/atom) = 338
- density of states at the Fermi level (states/eV per atom) = 0.2323

```
data_Be2CdW
_cell_length_a 2.697
_cell_length_b 2.697
_cell_length_c 7.787
_cell_angle_alpha 90.00
_cell_angle_beta 90.00
_cell_angle_gamma 101.26
_symmetry_space_group_name_H-M 'P 1'
_symmetry_Int_Tables_number 1
loop_
_symmetry_equiv_pos_as_xyz
'x,y,z'
loop_
_atom_site_label
_atom_site_type_symbol
_atom_site_fract_x
_atom_site_fract_y
_atom_site_fract_z
Be1 Be 0.000 0.000 0.229
Be2 Be 0.000 0.000 0.771
Cd1 Cd 0.500 0.500 0.500
W1 W 0.500 0.500 0.000
```

=====

Density functional theory data (PBE) for K2Sr after structural relaxation.

- volume (Å³ per cell) = 432.8
- uncorrected energy (eV per atom) = -1.113
- magnetization (μB/f.u.) = 0.00
- energy relative to the elements (meV/atom) = 179
- density of states at the Fermi level (states/eV per atom) = 1.0976

```
data_K2Sr
_cell_length_a 8.309
_cell_length_b 8.309
_cell_length_c 8.309
_cell_angle_alpha 105.03
_cell_angle_beta 105.03
_cell_angle_gamma 118.76
_symmetry_space_group_name_H-M 'P 1'
_symmetry_Int_Tables_number 1
loop_
_symmetry_equiv_pos_as_xyz
'x,y,z'
loop_
_atom_site_label
_atom_site_type_symbol
_atom_site_fract_x
_atom_site_fract_y
_atom_site_fract_z
K1 K 0.151 0.651 0.801
K2 K 0.349 0.151 0.500
K3 K 0.651 0.849 0.500
K4 K 0.849 0.349 0.199
Sr1 Sr 0.250 0.250 0.000
Sr2 Sr 0.750 0.750 0.000
```

=====

Q: Among the records above, which one has the lowest uncorrected energy?
A: Y2Ga2SnIr5

=====

Q: What is the formula in the seventh record?
A: LiSmZr

=====

Q: What is the uncorrected energy in the third record?
A: -7.367 eV per atom